#A
The following is a DFT calculation (GGA-PBE) of crystalline ZrSc3Tc at its relaxed geometry.

a b c (Å): 4.9642 4.9642 4.9642
angles (deg): 90.00 90.00 90.00
Closest atoms and distances in Å follow each position.
Element x y z (fractional)
Sc 0.0000 0.5000 0.0000  2 Tc 2.48
Sc 0.0000 0.0000 0.5000  2 Tc 2.48
Sc 0.5000 0.0000 0.0000  2 Tc 2.48
Tc 0.0000 0.0000 0.0000  6 Sc 2.48
Zr 0.5000 0.5000 0.5000  12 Sc 3.51

---

#B
The following is a DFT calculation (GGA-PBE) of crystalline ZrSc3Tc at its relaxed geometry.

a b c (Å): 6.7428 6.7428 6.7653
angles (deg): 107.65 114.53 106.22
Closest atoms and distances in Å follow each position.
Element x y z (fractional)
Zr 0.7096 0.0561 0.7657  1 Tc 2.51
Zr 0.2904 0.9439 0.2343  1 Tc 2.51
Sc 0.8493 0.0493 0.2852  1 Tc 2.55
Sc 0.2359 0.4359 0.2852  1 Tc 2.55
Sc 0.7641 0.5641 0.7148  1 Tc 2.55
Sc 0.7136 0.4438 0.1574  1 Tc 2.56
Sc 0.1507 0.9507 0.7148  1 Tc 2.55
Sc 0.2864 0.5562 0.8426  1 Tc 2.56
Tc 0.6189 0.7529 0.3718  1 Zr 2.51, 3 Sc 2.55-2.56
Tc 0.3811 0.2471 0.6282  1 Zr 2.51, 3 Sc 2.55-2.56

---

#C
The following is a DFT calculation (GGA-PBE) of crystalline ZrSc3Tc at its relaxed geometry.

a b c (Å): 3.3554 6.0283 11.2152
angles (deg): 92.88 90.00 106.16
Closest atoms and distances in Å follow each position.
Element x y z (fractional)
Zr 0.5317 0.0634 0.6936  2 Tc 2.68
Zr 0.4683 0.9366 0.3064  2 Tc 2.68
Sc 0.2724 0.5447 0.7572  2 Tc 2.83, 1 Zr 3.12
Sc 0.7276 0.4553 0.2428  2 Tc 2.83, 1 Zr 3.12
Sc 0.3758 0.7516 0.0365  4 Tc 2.81-2.85, 1 Sc 3.03
Sc 0.6242 0.2484 0.9635  4 Tc 2.81-2.85, 1 Sc 3.03
Sc 0.1349 0.2698 0.4720  4 Zr 3.10-3.28, 7 Sc 3.18-3.36
Sc 0.8651 0.7302 0.5280  4 Zr 3.10-3.28, 7 Sc 3.18-3.36
Tc 0.9496 0.8992 0.8550  2 Zr 2.68, 6 Sc 2.81-2.85
Tc 0.0504 0.1008 0.1450  2 Zr 2.68, 6 Sc 2.81-2.85

---

#D
The following is a DFT calculation (GGA-PBE) of crystalline ZrSc3Tc at its relaxed geometry.

a b c (Å): 4.9677 4.9677 4.9677
angles (deg): 90.00 90.00 90.00
Closest atoms and distances in Å follow each position.
Element x y z (fractional)
Sc 0.0000 0.5000 0.0000  2 Zr 2.48
Sc 0.0000 0.0000 0.5000  2 Zr 2.48
Sc 0.5000 0.0000 0.0000  2 Zr 2.48
Tc 0.5000 0.5000 0.5000  12 Sc 3.51
Zr 0.0000 0.0000 0.0000  6 Sc 2.48

---

Most stable one: #C, least stable one: #D.

---

#A
The following is a DFT calculation (GGA-PBE) of crystalline Zr4ScTc at its relaxed geometry.

a b c (Å): 5.6975 5.6975 5.6975
angles (deg): 60.00 60.00 60.00
Closest atoms and distances in Å follow each position.
Element x y z (fractional)
Zr 0.8768 0.3744 0.3744  6 Zr 2.83-2.86
Zr 0.3744 0.3744 0.8768  6 Zr 2.83-2.86
Zr 0.3744 0.8768 0.3744  6 Zr 2.83-2.86
Zr 0.3744 0.3744 0.3744  6 Zr 2.83-2.86
Sc 0.7500 0.7500 0.7500  12 Zr 3.34, 4 Tc 3.49
Tc 0.0000 0.0000 0.0000  12 Zr 3.34, 4 Sc 3.49

---

#B
The following is a DFT calculation (GGA-PBE) of crystalline Zr4ScTc at its relaxed geometry.

a b c (Å): 4.8596 5.7924 5.8792
angles (deg): 63.05 65.59 65.20
Closest atoms and distances in Å follow each position.
Element x y z (fractional)
Zr 0.6442 0.0119 0.6996  2 Tc 2.90, 3 Zr 3.05-3.18, 1 Sc 3.21
Zr 0.3558 0.9881 0.3004  2 Tc 2.90, 3 Zr 3.05-3.18, 1 Sc 3.21
Zr 0.7097 0.4355 0.1450  1 Tc 2.66, 2 Zr 2.84
Zr 0.2903 0.5645 0.8550  1 Tc 2.66, 2 Zr 2.84
Sc 0.0000 0.5000 0.5000  2 Tc 3.05, 8 Zr 3.17-3.35
Tc 0.0000 0.0000 0.0000  6 Zr 2.66-2.90

---

Most stable one: #B, least stable one: #A.

---

#A
The following is a DFT calculation (GGA-PBE) of crystalline ZrSc2Tc2 at its relaxed geometry.

a b c (Å): 3.3559 4.8409 11.6361
angles (deg): 90.00 98.32 90.00
Closest atoms and distances in Å follow each position.
Element x y z (fractional)
Zr 0.8625 0.7500 0.7222  6 Tc 2.66-2.95
Zr 0.1375 0.2500 0.2778  6 Tc 2.66-2.95
Sc 0.0469 0.7500 0.0951  8 Tc 2.78-2.95
Sc 0.9531 0.2500 0.9049  8 Tc 2.78-2.95
Sc 0.2342 0.7500 0.4684  2 Tc 2.63
Sc 0.7658 0.2500 0.5316  2 Tc 2.63
Tc 0.6454 0.7500 0.2923  4 Sc 2.63-2.82
Tc 0.3546 0.2500 0.7077  4 Sc 2.63-2.82
Tc 0.4515 0.7500 0.9021  2 Zr 2.66-2.67, 6 Sc 2.78-2.95
Tc 0.5485 0.2500 0.0979  2 Zr 2.66-2.67, 6 Sc 2.78-2.95

---

#B
The following is a DFT calculation (GGA-PBE) of crystalline ZrSc2Tc2 at its relaxed geometry.

a b c (Å): 7.3596 7.3596 3.5241
angles (deg): 90.00 90.00 90.00
Closest atoms and distances in Å follow each position.
Element x y z (fractional)
Sc 0.1478 0.6478 0.5000  6 Tc 2.71-2.84
Sc 0.6478 0.8522 0.5000  6 Tc 2.71-2.84
Sc 0.8522 0.3522 0.5000  6 Tc 2.71-2.84
Sc 0.3522 0.1478 0.5000  6 Tc 2.71-2.84
Tc 0.3460 0.8460 0.0000  6 Sc 2.71-2.84, 2 Zr 2.79
Tc 0.8460 0.6540 0.0000  6 Sc 2.71-2.84, 2 Zr 2.79
Tc 0.6540 0.1540 0.0000  6 Sc 2.71-2.84, 2 Zr 2.79
Tc 0.1540 0.3460 0.0000  6 Sc 2.71-2.84, 2 Zr 2.79
Zr 0.0000 0.0000 0.0000  4 Tc 2.79
Zr 0.5000 0.5000 0.0000  4 Tc 2.79

---

Most stable one: #A, least stable one: #B.

---

#A
The following is a DFT calculation (GGA-PBE) of crystalline Zr2ScTc at its relaxed geometry.

a b c (Å): 7.7207 7.7207 6.2038
angles (deg): 51.52 51.52 90.00
Closest atoms and distances in Å follow each position.
Element x y z (fractional)
Sc 0.5000 0.5000 0.0000  2 Tc 2.95, 4 Zr 3.09
Sc 0.2500 0.7500 0.5000  2 Tc 2.95, 4 Zr 3.09
Tc 0.0000 0.0000 0.0000  4 Zr 2.59
Tc 0.7500 0.2500 0.5000  4 Zr 2.59
Zr 0.6727 0.1250 0.2500  2 Tc 2.59
Zr 0.0773 0.6250 0.2500  2 Tc 2.59
Zr 0.3750 0.3273 0.7500  2 Tc 2.59
Zr 0.8750 0.9227 0.7500  2 Tc 2.59

---

#B
The following is a DFT calculation (GGA-PBE) of crystalline Zr2ScTc at its relaxed geometry.

a b c (Å): 5.7469 5.7469 4.9968
angles (deg): 64.21 64.21 34.46
Closest atoms and distances in Å follow each position.
Element x y z (fractional)
Sc 0.7500 0.7500 0.7500  4 Tc 3.02, 8 Zr 3.24-3.30
Tc 0.2500 0.2500 0.2500  4 Zr 2.68
Zr 0.9612 0.9612 0.0387  2 Tc 2.68
Zr 0.5388 0.5388 0.4613  2 Tc 2.68

---

#C
The following is a DFT calculation (GGA-PBE) of crystalline Zr2ScTc at its relaxed geometry.

a b c (Å): 3.4736 5.9437 8.6085
angles (deg): 90.00 90.00 106.99
Closest atoms and distances in Å follow each position.
Element x y z (fractional)
Zr 0.3637 0.7275 0.5548  3 Tc 2.71-2.95
Zr 0.6363 0.2725 0.4452  3 Tc 2.71-2.95
Zr 0.6363 0.2725 0.0548  3 Tc 2.71-2.95
Zr 0.3637 0.7275 0.9452  3 Tc 2.71-2.95
Sc 0.9450 0.8900 0.2500  2 Tc 2.87
Sc 0.0550 0.1100 0.7500  2 Tc 2.87
Tc 0.2445 0.4890 0.2500  6 Zr 2.71-2.95, 2 Sc 2.87
Tc 0.7555 0.5110 0.7500  6 Zr 2.71-2.95, 2 Sc 2.87

---

#D
The following is a DFT calculation (GGA-PBE) of crystalline Zr2ScTc at its relaxed geometry.

a b c (Å): 4.8278 4.8278 4.8278
angles (deg): 60.00 60.00 60.00
Closest atoms and distances in Å follow each position.
Element x y z (fractional)
Sc 0.5000 0.5000 0.5000  4 Zr 2.96, 4 Tc 2.96
Tc 0.7500 0.7500 0.7500  4 Zr 2.96, 4 Sc 2.96
Zr 0.0000 0.0000 0.0000  4 Zr 2.96, 4 Tc 2.96
Zr 0.2500 0.2500 0.2500  4 Zr 2.96, 4 Sc 2.96

---

Most stable one: #B, least stable one: #A.

---

#A
The following is a DFT calculation (GGA-PBE) of crystalline Zr2ScTc at its relaxed geometry.

a b c (Å): 9.6182 9.6182 9.6182
angles (deg): 19.13 19.13 19.13
Closest atoms and distances in Å follow each position.
Element x y z (fractional)
Sc 0.4871 0.4871 0.4871  3 Tc 2.73
Tc 0.7494 0.7494 0.7494  3 Sc 2.73, 3 Zr 2.75
Zr 0.0109 0.0109 0.0109  3 Tc 2.75
Zr 0.2526 0.2526 0.2526  9 Zr 3.18-3.20, 3 Sc 3.35

---

#B
The following is a DFT calculation (GGA-PBE) of crystalline Zr2ScTc at its relaxed geometry.

a b c (Å): 5.6645 5.6645 5.6645
angles (deg): 138.06 138.06 60.81
Closest atoms and distances in Å follow each position.
Element x y z (fractional)
Sc 0.5000 0.5000 0.0000  8 Zr 2.87-3.17, 4 Tc 3.17
Tc 0.7500 0.2500 0.5000  8 Zr 2.87-3.17, 4 Sc 3.17
Zr 0.0000 0.0000 0.0000  4 Sc 2.87, 4 Zr 3.17, 4 Tc 3.17
Zr 0.2500 0.7500 0.5000  4 Tc 2.87, 4 Zr 3.17, 4 Sc 3.17

---

#C
The following is a DFT calculation (GGA-PBE) of crystalline Zr2ScTc at its relaxed geometry.

a b c (Å): 4.4811 3.1924 5.9135
angles (deg): 75.96 90.00 90.00
Closest atoms and distances in Å follow each position.
Element x y z (fractional)
Sc 0.5000 0.2500 0.2500  2 Tc 3.00, 8 Zr 3.09-3.25, 2 Sc 3.19
Tc 0.5000 0.7500 0.7500  4 Zr 2.73, 2 Sc 3.00
Zr 0.0000 0.9230 0.9766  2 Tc 2.73, 1 Zr 2.97
Zr 0.0000 0.5770 0.5234  2 Tc 2.73, 1 Zr 2.97

---

Most stable one: #C, least stable one: #B.

---

#A
The following is a DFT calculation (GGA-PBE) of crystalline Zr2ScTc at its relaxed geometry.

a b c (Å): 3.3452 3.3452 7.3938
angles (deg): 90.00 90.00 90.00
Closest atoms and distances in Å follow each position.
Element x y z (fractional)
Sc 0.5000 0.5000 0.2500  8 Zr 3.18, 4 Sc 3.35
Tc 0.5000 0.5000 0.7500  8 Zr 2.84
Zr 0.0000 0.0000 0.9632  4 Tc 2.84, 1 Zr 3.15, 4 Sc 3.18
Zr 0.0000 0.0000 0.5368  4 Tc 2.84, 1 Zr 3.15, 4 Sc 3.18

---

#B
The following is a DFT calculation (GGA-PBE) of crystalline Zr2ScTc at its relaxed geometry.

a b c (Å): 3.3030 3.3030 7.5889
angles (deg): 90.00 90.00 90.00
Closest atoms and distances in Å follow each position.
Element x y z (fractional)
Sc 0.0000 0.0000 0.5495  4 Tc 2.82, 1 Zr 3.11
Tc 0.5000 0.5000 0.7575  4 Zr 2.79, 4 Sc 2.82
Zr 0.0000 0.0000 0.9597  4 Tc 2.79, 1 Sc 3.11, 4 Zr 3.12
Zr 0.5000 0.5000 0.2332  8 Zr 3.12-3.30, 4 Sc 3.35

---

#C
The following is a DFT calculation (GGA-PBE) of crystalline Zr2ScTc at its relaxed geometry.

a b c (Å): 7.2723 7.2723 7.2723
angles (deg): 42.64 154.04 146.78
Closest atoms and distances in Å follow each position.
Element x y z (fractional)
Zr 0.0000 0.3170 0.3170  1 Tc 2.48
Zr 0.0000 0.6830 0.6830  1 Tc 2.48
Sc 0.0000 0.0000 0.0000  4 Tc 2.64
Tc 0.0000 0.5000 0.5000  2 Zr 2.48, 4 Sc 2.64

---

Most stable one: #B, least stable one: #C.